No. 1
Computed, not measured: Tb11Zn9Ag4 after structural relaxation at the PBE level of DFT.

Structure (extended XYZ):
```
24
Lattice="3.635 0.000 0.000 0.000 11.851 -4.880 0.000 0.170 12.815" Properties=species:S:1:pos:R:3 pbc="T T T"
Zn 1.818 1.777 7.323
Zn 1.818 11.549 5.489
Zn 1.818 9.586 8.463
Zn 1.818 0.472 2.446
Zn 1.818 4.589 9.179
Zn 1.818 7.432 -1.244
Zn 1.818 6.010 3.968
Zn 1.818 2.434 -0.527
Zn 1.818 10.244 0.613
Ag 1.818 3.300 4.388
Ag 1.818 8.721 3.547
Ag 1.818 6.689 6.625
Ag 1.818 5.332 1.310
Tb 0.000 2.949 1.947
Tb 0.000 7.804 1.250
Tb 0.000 7.127 9.052
Tb 0.000 4.216 6.685
Tb 0.000 0.000 0.000
Tb 0.000 0.897 4.939
Tb 0.000 9.839 -1.832
Tb 0.000 2.182 9.767
Tb 0.000 4.894 -1.116
Tb 0.000 9.071 5.988
Tb 0.000 11.124 2.996
```

Results
spin magnetization = 0.00 μB/f.u.
space-group type = No. 65
final energy = -0.248 Ry per atom
formation energy from the elements = -0.29 eV per atom

=====

No. 2
Computed, not measured: Tb6Zn2Ag after structural relaxation at the PBE level of DFT.

Structure (extended XYZ):
```
9
Lattice="-4.074 1.355 2.516 0.499 -3.977 2.950 7.802 7.011 3.936" Properties=species:S:1:pos:R:3 pbc="T T T"
Ag 0.000 0.000 0.000
Tb 5.227 2.728 6.994
Tb -1.000 1.660 2.408
Tb 1.287 -1.006 2.625
Tb 0.970 3.527 4.593
Tb 2.940 5.395 6.777
Tb 3.257 0.861 4.809
Zn 4.011 3.802 4.448
Zn 0.215 0.587 4.954
```

Results
spin magnetization = 0.00 μB/f.u.
space-group type = No. 139
final energy = -0.269 Ry per atom
formation energy from the elements = 0.03 eV per atom

=====

No. 3
Computed, not measured: Tb12Zn3Ag5 after structural relaxation at the PBE level of DFT.

Structure (extended XYZ):
```
80
Lattice="-13.586 5.979 1.303 4.923 -4.121 13.447 9.316 10.061 -5.831" Properties=species:S:1:pos:R:3 pbc="T T T"
Zn 0.342 9.738 1.483
Zn 0.311 2.182 7.435
Zn 9.597 4.687 7.555
Zn -7.031 3.399 10.496
Zn -7.179 4.197 5.290
Zn 0.712 4.753 -0.180
Zn -8.943 7.232 1.363
Zn 7.684 8.521 -1.578
Zn 7.832 7.723 3.627
Zn -3.767 6.480 1.989
Zn 4.420 5.440 6.929
Zn -0.059 7.167 9.098
Ag -2.135 8.020 -2.264
Ag 3.353 9.450 5.797
Ag -1.422 12.773 -2.445
Ag -4.834 10.490 0.857
Ag 4.272 6.238 1.724
Ag 7.120 2.970 3.808
Ag -1.824 10.202 5.170
Ag -3.619 5.682 7.194
Ag 5.488 1.430 8.061
Ag -4.332 0.929 7.375
Ag 2.477 1.717 3.747
Ag 0.327 5.960 4.459
Ag 2.462 -2.061 6.723
Ag 4.658 5.031 -2.916
Ag -1.855 2.646 11.122
Ag -6.793 2.990 0.651
Ag 2.508 9.273 -2.204
Ag 0.000 0.000 0.000
Ag -2.699 2.470 3.121
Ag 2.076 -0.853 11.362
Tb 1.074 -0.497 8.732
Tb 2.668 11.253 -0.179
Tb 0.465 7.697 -1.024
Tb 1.547 6.964 2.029
Tb 4.928 7.914 -2.793
Tb -4.274 4.005 11.711
Tb -3.250 7.699 9.154
Tb -0.254 12.036 3.680
Tb 4.689 -1.942 11.550
Tb -6.286 8.492 2.253
Tb -6.236 1.756 13.167
Tb 0.907 -0.116 5.238
Tb -5.382 3.578 7.908
Tb 1.686 2.111 1.052
Tb -1.032 9.809 7.866
Tb 9.088 5.020 4.378
Tb 0.188 4.222 9.942
Tb -0.894 4.956 6.889
Tb 3.108 2.918 8.473
Tb 3.019 6.273 9.534
Tb -8.411 4.937 8.007
Tb -6.074 11.504 -1.484
Tb -1.106 4.666 2.296
Tb 3.903 4.221 -0.237
Tb -8.645 4.359 2.412
Tb -2.366 5.647 -0.616
Tb -2.014 0.667 9.096
Tb 6.890 10.163 -4.249
Tb -5.221 3.759 2.962
Tb -0.421 12.417 0.186
Tb 2.164 3.955 5.463
Tb -1.511 7.965 3.455
Tb 9.064 6.982 0.911
Tb 6.036 8.342 1.009
Tb 9.298 7.561 6.506
Tb -8.435 6.899 4.540
Tb -6.241 5.813 0.292
Tb 6.939 3.427 6.664
Tb 2.697 10.569 3.273
Tb -4.035 13.861 -2.632
Tb -2.455 9.001 0.445
Tb 6.728 0.415 10.402
Tb -2.044 1.351 5.644
Tb 5.875 8.160 5.955
Tb 5.604 5.425 4.093
Tb 1.759 7.253 6.622
Tb 6.894 6.107 8.626
Tb -4.950 6.495 4.825
```

Results
spin magnetization = 0.00 μB/f.u.
space-group type = No. 230
final energy = -0.254 Ry per atom
formation energy from the elements = 0.22 eV per atom

=====

No. 4
Computed, not measured: Tb3Zn2Ag2 after structural relaxation at the PBE level of DFT.

Structure (extended XYZ):
```
7
Lattice="5.561 0.565 -1.353 -2.665 3.953 -0.700 -0.399 -1.870 7.475" Properties=species:S:1:pos:R:3 pbc="T T T"
Zn 2.281 1.996 2.603
Zn 0.217 0.651 2.819
Tb 1.883 -0.802 4.855
Tb 0.616 3.450 0.567
Tb 0.000 0.000 0.000
Ag 3.532 2.401 0.138
Ag -1.034 0.247 5.284
```

Results
spin magnetization = 0.00 μB/f.u.
space-group type = No. 2
final energy = -0.252 Ry per atom
formation energy from the elements = -0.26 eV per atom